1.
A plane-wave DFT calculation with PBEsol was carried out for crystalline Li5BO4 at its relaxed geometry.

```
data_Li5BO4
_symmetry_space_group_name_H-M 'P m m n'
_symmetry_Int_Tables_number 59
_cell_length_a 5.8696
_cell_length_b 5.9979
_cell_length_c 4.5204
_cell_angle_alpha 90.00
_cell_angle_beta 90.00
_cell_angle_gamma 90.00
loop_
_symmetry_equiv_pos_as_xyz
'x,y,z'
'-x,-y,-z'
'-x+1/2,-y+1/2,z'
'x+1/2,y+1/2,-z'
'x+1/2,-y,-z'
'-x+1/2,y,z'
'-x,y+1/2,-z'
'x,-y+1/2,z'
loop_
_atom_site_label
_atom_site_fract_x
_atom_site_fract_y
_atom_site_fract_z
Li1 0.0100 0.0520 0.2410
Li2 0.2500 0.7500 0.3261
B1 0.2500 0.2500 0.7205
O1 0.0353 0.2500 0.9049
O2 0.2500 0.0404 0.5320
```

Output
Energy above the lowest structure with this stoichiometry, meV per atom: 0

2.
A plane-wave DFT calculation with PBEsol was carried out for crystalline LiBO2 at its relaxed geometry.

```
data_LiBO2
_symmetry_space_group_name_H-M 'P 1 21/c 1'
_symmetry_Int_Tables_number 14
_symmetry_space_group_name_Hall '-P 2ybc'
_cell_length_a 5.8559
_cell_length_b 4.3635
_cell_length_c 6.3678
_cell_angle_alpha 90.00
_cell_angle_beta 115.61
_cell_angle_gamma 90.00
loop_
_atom_site_label
_atom_site_fract_x
_atom_site_fract_y
_atom_site_fract_z
Li1 0.0673 0.2133 0.1568
B1 0.3755 0.6767 0.2280
O1 0.1445 0.7227 0.6844
O2 0.4149 0.1432 0.7406
```

3.
A plane-wave DFT calculation with PBEsol was carried out for crystalline Li3BP2O8 at its relaxed geometry.

```
data_Li3BP2O8
_symmetry_space_group_name_H-M 'P -1'
_symmetry_Int_Tables_number 2
_symmetry_space_group_name_Hall '-P 1'
_cell_length_a 5.1629
_cell_length_b 7.3929
_cell_length_c 7.7435
_cell_angle_alpha 101.00
_cell_angle_beta 105.58
_cell_angle_gamma 90.07
loop_
_atom_site_label
_atom_site_fract_x
_atom_site_fract_y
_atom_site_fract_z
Li1 0.1462 0.0267 0.3933
Li2 0.2249 0.3650 0.6945
Li3 0.3239 0.0111 0.8516
B1 0.2577 0.4588 0.2306
P1 0.1191 0.7532 0.0568
P2 0.3669 0.7139 0.5447
O1 0.0555 0.1905 0.8124
O2 0.0566 0.3081 0.1461
O3 0.1753 0.5614 0.3906
O4 0.1961 0.8701 0.5981
O5 0.2821 0.5802 0.1057
O6 0.3135 0.9066 0.0597
O7 0.4022 0.2254 0.5207
O8 0.4689 0.6115 0.7110
```

Number 1: raw formation energy -2.117 eV per atom. Number 2: raw formation energy -2.395 eV per atom. Number 3: raw formation energy -2.380 eV per atom.